1.
This record from Alexandria describes a crystal of TaOs relaxed with PBEsol. The functional is meta-GGA SCAN.

- E_form (eV/atom) = 0.119
- final energy (eV/atom) = -69.1123

Cell lengths 2.7940, 2.7940, 9.3607 Å; angles 90.00, 90.00, 120.00 degrees
Space group P-3m1 (No. 164)
Asymmetric unit:
Ta: 0.3333 0.6667 0.3621
Os: 0.3333 0.6667 0.8878

---

2.
This record from Alexandria describes a crystal of K2ReBr relaxed with PBEsol. The functional is meta-GGA SCAN.

- final energy (eV/atom) = -26.0460
- formation energy without anion corrections (eV/atom) = 0.758
- polymorph energy (0 for the lowest one) (kJ per mole of atoms) = 12.14

Cell lengths 4.6664, 4.6664, 6.8263 Å; angles 90.00, 90.00, 90.00 degrees
Space group P4mm (No. 99)
Asymmetric unit:
K: 0.0000 0.0000 0.0000
K: 0.5000 0.5000 0.4641
Re: 0.0000 0.0000 0.5064
Br: 0.5000 0.5000 0.9707

---

3.
This record from Alexandria describes a crystal of TiCrOsW2 relaxed with PBEsol. The functional is meta-GGA SCAN.

- E_form (eV/atom) = 1.535
- final energy (eV/atom) = -47.5993

Cell lengths 4.7295, 4.7295, 4.3787 Å; angles 90.00, 90.00, 90.00 degrees
Space group P4/mmm (No. 123)
Asymmetric unit:
Ti: 0.0000 0.0000 0.0000
Cr: 0.5000 0.5000 0.0000
Os: 0.5000 0.5000 0.5000
W: 0.0000 0.5000 0.5000